The following is a DFT calculation (PBE-GGA) of crystalline AgB2PO6 at its relaxed geometry.

abc: 7.596 7.596 4.738
angles: 105.91 105.91 86.42
Atoms (fractional coordinates):
1 Ag 0.072 0.928 0.750
2 Ag 0.928 0.072 0.250
3 B 0.275 0.359 0.932
4 B 0.359 0.275 0.432
5 B 0.641 0.725 0.568
6 B 0.725 0.641 0.068
7 P 0.278 0.722 0.250
8 P 0.722 0.278 0.750
9 O 0.108 0.703 0.348
10 O 0.248 0.286 0.155
11 O 0.286 0.248 0.655
12 O 0.293 0.546 0.978
13 O 0.297 0.892 0.152
14 O 0.454 0.707 0.522
15 O 0.546 0.293 0.478
16 O 0.703 0.108 0.848
17 O 0.707 0.454 0.022
18 O 0.714 0.752 0.345
19 O 0.752 0.714 0.845
20 O 0.892 0.297 0.652

Computed properties:
Formation energy (no corrections) (eV/atom): -1.916
Total moment (μB per cell): 0.00